No. 1
Material: NaPmOsO4
Method: DFT, PBE
State: relaxed

a = 6.6184 Å, b = 6.6184 Å, c = 6.6184 Å
α = 120.11°, β = 114.07°, γ = 95.19°
Atoms (fractional coordinates):
Na: 0.3634 0.1134 0.2500
Na: 0.6366 0.8866 0.7500
Pm: 0.0000 0.5000 0.5000
Pm: 0.5000 0.5000 0.0000
Os: 0.0000 0.0000 0.5000
Os: 0.0000 0.5000 0.0000
O: 0.1698 0.2410 0.9289
O: 0.1879 0.7590 0.4289
O: 0.2249 0.2521 0.5272
O: 0.2249 0.6977 0.9728
O: 0.7751 0.3023 0.0272
O: 0.7751 0.7479 0.4728
O: 0.8121 0.2410 0.5711
O: 0.8302 0.7590 0.0711

Results
space group: Imma, No. 74
crystal system: orthorhombic

No. 2
Material: Na2PmOsO6
Method: DFT, PBE
State: relaxed

a = 5.6944 Å, b = 5.8347 Å, c = 9.9216 Å
α = 90.00°, β = 124.64°, γ = 90.00°
Atoms (fractional coordinates):
Na: 0.2428 0.0393 0.2513
Na: 0.2428 0.4607 0.7513
Na: 0.7572 0.5393 0.2487
Na: 0.7572 0.9607 0.7487
Pm: 0.5000 0.0000 0.0000
Pm: 0.5000 0.5000 0.5000
Os: 0.0000 0.0000 0.5000
Os: 0.0000 0.5000 0.0000
O: 0.1194 0.2291 0.9480
O: 0.1194 0.2709 0.4480
O: 0.2281 0.6778 0.9557
O: 0.2281 0.8222 0.4557
O: 0.3143 0.0311 0.7231
O: 0.3143 0.4689 0.2231
O: 0.6857 0.5311 0.7769
O: 0.6857 0.9689 0.2769
O: 0.7719 0.1778 0.5443
O: 0.7719 0.3222 0.0443
O: 0.8806 0.7291 0.5520
O: 0.8806 0.7709 0.0520

Results
space group: P2_1/c, No. 14
crystal system: monoclinic

No. 3
Material: NaPm2OsO8
Method: DFT, PBE
State: relaxed

a = 4.2897 Å, b = 5.2208 Å, c = 7.1443 Å
α = 89.85°, β = 75.85°, γ = 89.69°
Atoms (fractional coordinates):
Na: 0.0000 0.0000 0.0000
Pm: 0.3836 0.5149 0.2829
Pm: 0.6164 0.4851 0.7171
Os: 0.0000 0.0000 0.5000
O: 0.1680 0.4654 0.0014
O: 0.1794 0.3115 0.5887
O: 0.2279 0.7868 0.6211
O: 0.3240 0.9777 0.2584
O: 0.6760 0.0223 0.7416
O: 0.7721 0.2132 0.3789
O: 0.8206 0.6885 0.4113
O: 0.8320 0.5346 0.9986

Results
space group: P-1, No. 2
crystal system: triclinic

No. 4
Material: Na3Pm3OsO8
Method: DFT, PBE
State: relaxed

a = 6.8583 Å, b = 6.8583 Å, c = 6.8583 Å
α = 60.37°, β = 60.37°, γ = 60.37°
Atoms (fractional coordinates):
Na: 0.0000 0.5000 0.5000
Na: 0.5000 0.0000 0.5000
Na: 0.5000 0.5000 0.0000
Pm: 0.0000 0.0000 0.5000
Pm: 0.0000 0.5000 0.0000
Pm: 0.5000 0.0000 0.0000
Os: 0.5000 0.5000 0.5000
O: 0.2393 0.2393 0.2393
O: 0.2708 0.7152 0.7152
O: 0.2848 0.2848 0.7292
O: 0.2848 0.7292 0.2848
O: 0.7152 0.2708 0.7152
O: 0.7152 0.7152 0.2708
O: 0.7292 0.2848 0.2848
O: 0.7607 0.7607 0.7607

Results
space group: R-3m, No. 166
crystal system: trigonal

No. 5
Material: NaPrOs2O8
Method: DFT, PBE
State: relaxed

a = 6.0553 Å, b = 6.0553 Å, c = 7.0649 Å
α = 90.00°, β = 90.00°, γ = 120.00°
Atoms (fractional coordinates):
Na: 0.0000 0.0000 0.0000
Pr: 0.0000 0.0000 0.5000
Os: 0.3333 0.6667 0.8106
Os: 0.6667 0.3333 0.1894
O: 0.1698 0.3396 0.7220
O: 0.1698 0.8302 0.7220
O: 0.3333 0.6667 0.0598
O: 0.3396 0.1698 0.2780
O: 0.6604 0.8302 0.7220
O: 0.6667 0.3333 0.9402
O: 0.8302 0.1698 0.2780
O: 0.8302 0.6604 0.2780

Results
space group: P-3m1, No. 164
crystal system: trigonal

No. 6
Material: Na2PrOsO6
Method: DFT, PBE
State: relaxed

a = 5.7236 Å, b = 5.8814 Å, c = 9.9800 Å
α = 90.00°, β = 124.56°, γ = 90.00°
Atoms (fractional coordinates):
Na: 0.2431 0.0405 0.2520
Na: 0.2431 0.4595 0.7520
Na: 0.7569 0.5405 0.2480
Na: 0.7569 0.9595 0.7480
Pr: 0.5000 0.0000 0.0000
Pr: 0.5000 0.5000 0.5000
Os: 0.0000 0.0000 0.5000
Os: 0.0000 0.5000 0.0000
O: 0.1100 0.2298 0.9441
O: 0.1100 0.2702 0.4441
O: 0.2263 0.6735 0.9539
O: 0.2263 0.8265 0.4539
O: 0.3162 0.0358 0.7203
O: 0.3162 0.4642 0.2203
O: 0.6838 0.5358 0.7797
O: 0.6838 0.9642 0.2797
O: 0.7737 0.1735 0.5461
O: 0.7737 0.3265 0.0461
O: 0.8900 0.7298 0.5559
O: 0.8900 0.7702 0.0559

Results
space group: P2_1/c, No. 14
crystal system: monoclinic

Number 1: magnetic moment 1.87 μB per formula unit, formation energy (no corrections) -1.83 eV per atom. Number 2: magnetic moment 0.00 μB per formula unit, formation energy (no corrections) -1.83 eV per atom. Number 3: magnetic moment 1.02 μB per formula unit, formation energy (no corrections) -1.94 eV per atom. Number 4: magnetic moment 2.00 μB per formula unit, formation energy (no corrections) -2.25 eV per atom. Number 5: magnetic moment 4.03 μB per formula unit, formation energy (no corrections) -1.45 eV per atom. Number 6: magnetic moment 0.00 μB per formula unit, formation energy (no corrections) -1.80 eV per atom.